## CeHfZr2P4 (PBE-GGA)

Data for a relaxed CeHfZr2P4 crystal.

Cell lengths 6.596, 3.811, 6.601 Å; angles 90.00, 109.25, 90.00 degrees
Sites, in units of the cell vectors:
1 Ce 0.000 0.000 0.000
2 Hf 0.500 0.500 0.000
3 Zr 0.000 0.500 0.500
4 Zr 0.500 0.000 0.500
5 P 0.259 0.000 0.748
6 P 0.264 0.500 0.260
7 P 0.736 0.500 0.740
8 P 0.741 0.000 0.252

Output
The raw total energy is -0.301 Ha/atom. The volume comes out at 156.67 Å³/f.u. Its total magnetic moment is 0.000 μB per cell. Its energy of formation is -1360 meV/atom. Its space group is P2/m, No. 10.